Material: Cs2MnClF6
Method: DFT, PBE+U
State: optimized geometry

## Properties
- density of states at the Fermi level (states/eV/atom) = 0.00
- E (eV/atom) = -4.446

Geometry as CIF:
```
data_Cs2MnClF6
_cell_length_a 6.958
_cell_length_b 6.958
_cell_length_c 8.677
_cell_angle_alpha 90.00
_cell_angle_beta 90.00
_cell_angle_gamma 90.00
_symmetry_space_group_name_H-M 'I 4/m m m'
_symmetry_Int_Tables_number 139
_symmetry_space_group_name_Hall '-I 4 2'
loop_
_atom_site_label
_atom_site_type_symbol
_atom_site_fract_x
_atom_site_fract_y
_atom_site_fract_z
Cs1 Cs 0.000 0.500 0.250
Mn1 Mn 0.000 0.000 0.000
Cl1 Cl 0.000 0.000 0.500
F1 F 0.000 0.000 0.216
F2 F 0.188 0.188 0.000
```